# 1
An optimized crystal structure of Pm5PrSmTm2. Source: the Alexandria database, functional PBE.

Summary:
Calculated total energy   -4.54 eV per atom
Space-group type   No. 36
Density of states at the Fermi level   1.5689 states/eV per atom
ΔH_f (0 K)   0.152 eV per atom

a = 5.6959 Å, b = 10.5856 Å, c = 10.6193 Å
α = 90.00°, β = 90.00°, γ = 105.61°
Element x y z (fractional)
Tm (0.8835, 0.7670, 0.8222)
Tm (0.8873, 0.7746, 0.2338)
Tm (0.1127, 0.2254, 0.7338)
Tm (0.1165, 0.2330, 0.3222)
Pm (0.9835, 0.9669, 0.5233)
Pm (0.3899, 0.7797, 0.0261)
Pm (0.4770, 0.9539, 0.7398)
Pm (0.7030, 0.4060, 0.2069)
Pm (0.2802, 0.5605, 0.3119)
Pm (0.5230, 0.0461, 0.2398)
Pm (0.0165, 0.0331, 0.0233)
Pm (0.6101, 0.2203, 0.5261)
Pm (0.7198, 0.4395, 0.8119)
Pm (0.2970, 0.5940, 0.7069)
Sm (0.1996, 0.3993, 0.0118)
Sm (0.8004, 0.6007, 0.5118)
Pr (0.5860, 0.1719, 0.9483)
Pr (0.4140, 0.8281, 0.4483)

***

# 2
An optimized crystal structure of PmPr5Sm2Tm. Source: the Alexandria database, functional PBE.

Summary:
Calculated total energy   -4.44 eV per atom
Space-group type   No. 140
Density of states at the Fermi level   1.7273 states/eV per atom
ΔH_f (0 K)   0.286 eV per atom

a = 8.9130 Å, b = 8.9130 Å, c = 10.1964 Å
α = 115.92°, β = 115.92°, γ = 90.00°
Element x y z (fractional)
Pr (0.0705, 0.5705, 0.7201)
Pr (0.4295, 0.3504, 0.2799)
Pr (0.5705, 0.6496, 0.7201)
Pr (0.9295, 0.4295, 0.2799)
Pr (0.8504, 0.9295, 0.2799)
Pr (0.6496, 0.1496, 0.7201)
Pr (0.0000, 0.0000, 0.0000)
Pr (0.1496, 0.0705, 0.7201)
Pr (0.5000, 0.5000, 0.0000)
Pr (0.3504, 0.8504, 0.2799)
Tm (0.2500, 0.7500, 0.5000)
Tm (0.7500, 0.2500, 0.5000)
Sm (0.6168, 0.1168, 0.0000)
Sm (0.1168, 0.3832, 0.0000)
Sm (0.8832, 0.6168, 0.0000)
Sm (0.3832, 0.8832, 0.0000)
Pm (0.2500, 0.2500, 0.5000)
Pm (0.7500, 0.7500, 0.5000)

***

# 3
An optimized crystal structure of PmPrSm2Tm5. Source: the Alexandria database, functional PBE.

Summary:
Calculated total energy   -4.33 eV per atom
Space-group type   No. 140
Density of states at the Fermi level   1.0718 states/eV per atom
ΔH_f (0 K)   0.257 eV per atom

a = 8.7231 Å, b = 8.7231 Å, c = 9.8123 Å
α = 116.39°, β = 116.39°, γ = 90.00°
Element x y z (fractional)
Tm (0.0000, 0.0000, 0.0000)
Tm (0.8435, 0.9273, 0.2708)
Tm (0.5000, 0.5000, 0.0000)
Tm (0.3435, 0.8435, 0.2708)
Tm (0.4273, 0.3435, 0.2708)
Tm (0.1565, 0.0727, 0.7292)
Tm (0.5727, 0.6565, 0.7292)
Tm (0.9273, 0.4273, 0.2708)
Tm (0.6565, 0.1565, 0.7292)
Tm (0.0727, 0.5727, 0.7292)
Sm (0.1161, 0.3839, 0.0000)
Sm (0.3839, 0.8839, 0.0000)
Sm (0.8839, 0.6161, 0.0000)
Sm (0.6161, 0.1161, 0.0000)
Pm (0.2500, 0.7500, 0.5000)
Pm (0.7500, 0.2500, 0.5000)
Pr (0.7500, 0.7500, 0.5000)
Pr (0.2500, 0.2500, 0.5000)

***

# 4
An optimized crystal structure of PmPr2Sm3Tm6. Source: the Alexandria database, functional PBE.

Summary:
Calculated total energy   -4.59 eV per atom
Space-group type   No. 12
Density of states at the Fermi level   1.0621 states/eV per atom
ΔH_f (0 K)   0.017 eV per atom

a = 6.2074 Å, b = 6.2074 Å, c = 11.7137 Å
α = 95.05°, β = 95.05°, γ = 119.98°
Element x y z (fractional)
Sm (0.1667, 0.8333, 0.5000)
Sm (0.8333, 0.1667, 0.5000)
Sm (0.5000, 0.5000, 0.5000)
Tm (0.2488, 0.2488, 0.7483)
Tm (0.9158, 0.5827, 0.7484)
Tm (0.5827, 0.9158, 0.7484)
Tm (0.4173, 0.0842, 0.2516)
Tm (0.7512, 0.7512, 0.2517)
Tm (0.0842, 0.4173, 0.2516)
Pm (0.0000, 0.0000, 0.0000)
Pr (0.3334, 0.6666, 0.0000)
Pr (0.6666, 0.3334, 0.0000)

***

# 5
An optimized crystal structure of Pm6Pr3SmTm2. Source: the Alexandria database, functional PBE.

Summary:
Calculated total energy   -4.69 eV per atom
Space-group type   No. 12
Density of states at the Fermi level   1.4338 states/eV per atom
ΔH_f (0 K)   0.018 eV per atom

a = 6.3072 Å, b = 6.3072 Å, c = 12.0509 Å
α = 95.01°, β = 95.01°, γ = 120.01°
Element x y z (fractional)
Pm (0.5835, 0.9177, 0.7550)
Pm (0.9177, 0.5835, 0.7550)
Pm (0.4165, 0.0823, 0.2450)
Pm (0.0823, 0.4165, 0.2450)
Pm (0.7480, 0.7480, 0.2449)
Pm (0.2520, 0.2520, 0.7551)
Tm (0.6666, 0.3334, 0.0000)
Tm (0.3334, 0.6666, 0.0000)
Pr (0.8331, 0.1669, 0.5000)
Pr (0.5000, 0.5000, 0.5000)
Pr (0.1669, 0.8331, 0.5000)
Sm (0.0000, 0.0000, 0.0000)

***

# 6
An optimized crystal structure of Pm2PrSmTm4. Source: the Alexandria database, functional PBE.

Summary:
Calculated total energy   -4.19 eV per atom
Space-group type   No. 74
Density of states at the Fermi level   2.3424 states/eV per atom
ΔH_f (0 K)   0.416 eV per atom

a = 9.5065 Å, b = 9.5065 Å, c = 11.8339 Å
α = 128.49°, β = 128.49°, γ = 88.26°
Each line ends with the local moment (μB).
Element x y z (fractional)
Sm (0.5000, 0.5000, 0.5000)  0.15
Sm (0.0000, 0.0000, 0.0000)  0.15
Pr (0.0000, 0.5000, 0.0000)  0.14
Pr (0.0000, 0.5000, 0.5000)  0.14
Tm (0.2502, 0.2499, 0.0005)  0.18
Tm (0.2499, 0.7508, 0.0000)  0.18
Tm (0.7499, 0.7502, 0.5005)  0.18
Tm (0.2501, 0.2498, 0.4995)  0.18
Tm (0.7492, 0.2501, 0.5000)  0.18
Tm (0.2508, 0.7499, 0.5000)  0.18
Tm (0.7501, 0.2492, 0.0000)  0.18
Tm (0.7498, 0.7501, 0.9995)  0.18
Pm (0.5000, 0.0000, 0.0000)  0.14
Pm (0.5000, 0.5000, 0.0000)  0.15
Pm (0.5000, 0.0000, 0.5000)  0.14
Pm (0.0000, 0.0000, 0.5000)  0.15

***

What did the fourth record say?
An optimized crystal structure of PmPr2Sm3Tm6. Source: the Alexandria database, functional PBE.

Summary:
Calculated total energy   -4.59 eV per atom
Space-group type   No. 12
Density of states at the Fermi level   1.0621 states/eV per atom
ΔH_f (0 K)   0.017 eV per atom

a = 6.2074 Å, b = 6.2074 Å, c = 11.7137 Å
α = 95.05°, β = 95.05°, γ = 119.98°
Element x y z (fractional)
Sm (0.1667, 0.8333, 0.5000)
Sm (0.8333, 0.1667, 0.5000)
Sm (0.5000, 0.5000, 0.5000)
Tm (0.2488, 0.2488, 0.7483)
Tm (0.9158, 0.5827, 0.7484)
Tm (0.5827, 0.9158, 0.7484)
Tm (0.4173, 0.0842, 0.2516)
Tm (0.7512, 0.7512, 0.2517)
Tm (0.0842, 0.4173, 0.2516)
Pm (0.0000, 0.0000, 0.0000)
Pr (0.3334, 0.6666, 0.0000)
Pr (0.6666, 0.3334, 0.0000)

***

Q: What is the density of states at the Fermi level in the second record?
A: 1.7273 states/eV per atom